No. 1
VASP calculation (PBE) on Sm8Sn3Bi2 after structural relaxation.

Output
The energy relative to the elements comes out at -0.3704 eV per atom.

Cell: 9.2394 9.2394 7.6970 Å, 106.87 106.87 55.28°
With the nearest neighbours (Å) after each atom.
Fractional coordinates of all 13 atoms:
Sm: 0.0761 0.0761 0.2735  2 Sn 3.12, 1 Bi 3.24
Sm: 0.1364 0.6342 0.0959  2 Sn 3.07-3.09, 2 Bi 3.22-3.28
Sm: 0.3658 0.8636 0.9041  2 Sn 3.07-3.09, 2 Bi 3.22-3.28
Sm: 0.3962 0.3962 0.5792  3 Sn 3.08-3.13, 1 Bi 3.29
Sm: 0.6038 0.6038 0.4208  3 Sn 3.08-3.13, 1 Bi 3.29
Sm: 0.6342 0.1364 0.0959  2 Sn 3.07-3.09, 2 Bi 3.22-3.28
Sm: 0.8636 0.3658 0.9041  2 Sn 3.07-3.09, 2 Bi 3.22-3.28
Sm: 0.9239 0.9239 0.7265  2 Sn 3.12, 1 Bi 3.24
Sn: 0.2248 0.7752 0.5000  6 Sm 3.07-3.12
Sn: 0.5000 0.5000 0.0000  6 Sm 3.09-3.13
Sn: 0.7752 0.2248 0.5000  6 Sm 3.07-3.12
Bi: 0.2517 0.2517 0.1650  6 Sm 3.22-3.29
Bi: 0.7483 0.7483 0.8350  6 Sm 3.22-3.29



No. 2
VASP calculation (PBE) on ScCdH after structural relaxation.

Output
Its uncorrected energy is -0.14685 hartree per atom.

Cell: 3.4339 3.4339 7.7940 Å, 90.00 90.00 90.00°
With the nearest neighbours (Å) after each atom.
Fractional coordinates of all 6 atoms:
Sc: 0.2500 0.2500 0.1421  4 H 2.04
Sc: 0.7500 0.7500 0.8579  4 H 2.04
Cd: 0.2500 0.2500 0.6114  4 Cd 2.99, 4 Sc 3.10
Cd: 0.7500 0.7500 0.3886  4 Cd 2.99, 4 Sc 3.10
H: 0.2500 0.7500 0.0000  4 Sc 2.04
H: 0.7500 0.2500 0.0000  4 Sc 2.04



No. 3
VASP calculation (PBE) on LaPr3Y6Ho2 after structural relaxation.

Output
The energy relative to the elements comes out at 0.0169 eV per atom.

Cell: 6.2685 6.2685 11.9256 Å, 95.01 95.01 119.98°
With the nearest neighbours (Å) after each atom.
Fractional coordinates of all 12 atoms:
La: 0.0000 0.0000 0.0000  6 Y 3.59, 6 Ho 3.62
Pr: 0.1670 0.8330 0.5000  6 Pr 3.62-3.63, 6 Y 3.62-3.63
Pr: 0.5000 0.5000 0.5000  6 Pr 3.62, 6 Y 3.62-3.63
Pr: 0.8330 0.1670 0.5000  6 Pr 3.62-3.63, 6 Y 3.62-3.63
Y: 0.0828 0.4173 0.2480  2 Ho 3.58, 1 La 3.59, 6 Y 3.61-3.63, 3 Pr 3.62-3.63
Y: 0.2519 0.2519 0.7519  2 Ho 3.58, 1 La 3.59, 6 Y 3.61-3.63, 3 Pr 3.62-3.63
Y: 0.4173 0.0828 0.2480  2 Ho 3.58, 1 La 3.59, 6 Y 3.61-3.63, 3 Pr 3.62-3.63
Y: 0.5827 0.9172 0.7520  2 Ho 3.58, 1 La 3.59, 6 Y 3.61-3.63, 3 Pr 3.62-3.63
Y: 0.7481 0.7481 0.2481  2 Ho 3.58, 1 La 3.59, 6 Y 3.61-3.63, 3 Pr 3.62-3.63
Y: 0.9172 0.5827 0.7520  2 Ho 3.58, 1 La 3.59, 6 Y 3.61-3.63, 3 Pr 3.62-3.63
Ho: 0.3333 0.6667 0.0000  6 Y 3.58, 3 La 3.62, 3 Ho 3.62
Ho: 0.6667 0.3333 0.0000  6 Y 3.58, 3 La 3.62, 3 Ho 3.62



No. 4
VASP calculation (PBE) on Pm4C2Se after structural relaxation.

Output
The calculation puts the energy relative to the elements, uncorrected at -0.65 eV/atom.

Cell: 13.6594 13.6594 13.6594 Å, 16.06 16.06 16.06°
With the nearest neighbours (Å) after each atom.
Fractional coordinates of all 7 atoms:
Pm: 0.1176 0.1176 0.1176  3 C 2.53
Pm: 0.2846 0.2846 0.2846  3 C 2.68, 3 Se 2.96
Pm: 0.7154 0.7154 0.7154  3 C 2.68, 3 Se 2.96
Pm: 0.8824 0.8824 0.8824  3 C 2.53
C: 0.4200 0.4200 0.4200  6 Pm 2.53-2.68
C: 0.5800 0.5800 0.5800  6 Pm 2.53-2.68
Se: 0.0000 0.0000 0.0000  6 Pm 2.96



No. 5
VASP calculation (PBE) on Cs2NpCdI6 after structural relaxation.

Output
The calculation puts the energy relative to the elements, uncorrected at -1.00 eV/atom.

Cell: 8.9107 12.5892 8.8984 Å, 90.00 90.00 90.00°
With the nearest neighbours (Å) after each atom.
Fractional coordinates of all 20 atoms:
Cs: 0.2500 0.0003 0.2500  12 I 4.44-4.46
Cs: 0.2500 0.4997 0.2500  12 I 4.44-4.46
Cs: 0.7500 0.9997 0.7500  12 I 4.44-4.46
Cs: 0.7500 0.5003 0.7500  12 I 4.44-4.46
Np: 0.2500 0.2500 0.7494  6 I 3.10
Np: 0.7500 0.7500 0.2506  6 I 3.10
Cd: 0.2500 0.7500 0.7506  6 I 3.19-3.20
Cd: 0.7500 0.2500 0.2494  6 I 3.19-3.20
I: 0.0039 0.2500 0.9955  1 Np 3.10, 1 Cd 3.20
I: 0.0045 0.2500 0.5027  1 Np 3.10, 1 Cd 3.20
I: 0.2500 0.0038 0.7500  1 Np 3.10, 1 Cd 3.19
I: 0.2500 0.4962 0.7500  1 Np 3.10, 1 Cd 3.19
I: 0.4955 0.2500 0.5027  1 Np 3.10, 1 Cd 3.20
I: 0.4961 0.2500 0.9955  1 Np 3.10, 1 Cd 3.20
I: 0.5039 0.7500 0.0045  1 Np 3.10, 1 Cd 3.20
I: 0.5045 0.7500 0.4973  1 Np 3.10, 1 Cd 3.20
I: 0.7500 0.5038 0.2500  1 Np 3.10, 1 Cd 3.19
I: 0.7500 0.9962 0.2500  1 Np 3.10, 1 Cd 3.19
I: 0.9955 0.7500 0.4973  1 Np 3.10, 1 Cd 3.20
I: 0.9961 0.7500 0.0045  1 Np 3.10, 1 Cd 3.20



No. 6
VASP calculation (PBE) on AcPrErCd after structural relaxation.

Output
The energy relative to the elements comes out at 0.0656 eV per atom.

Cell: 8.0351 8.0351 8.0351 Å, 90.00 90.00 90.00°
With the nearest neighbours (Å) after each atom.
Fractional coordinates of all 16 atoms:
Ac: 0.0000 0.0000 0.0000  4 Pr 3.48, 4 Er 3.48
Ac: 0.0000 0.5000 0.5000  4 Pr 3.48, 4 Er 3.48
Ac: 0.5000 0.0000 0.5000  4 Pr 3.48, 4 Er 3.48
Ac: 0.5000 0.5000 0.0000  4 Pr 3.48, 4 Er 3.48
Pr: 0.2500 0.2500 0.7500  4 Cd 3.48, 4 Ac 3.48
Pr: 0.2500 0.7500 0.2500  4 Cd 3.48, 4 Ac 3.48
Pr: 0.7500 0.2500 0.2500  4 Cd 3.48, 4 Ac 3.48
Pr: 0.7500 0.7500 0.7500  4 Ac 3.48, 4 Cd 3.48
Er: 0.2500 0.2500 0.2500  4 Cd 3.48, 4 Ac 3.48
Er: 0.2500 0.7500 0.7500  4 Cd 3.48, 4 Ac 3.48
Er: 0.7500 0.2500 0.7500  4 Cd 3.48, 4 Ac 3.48
Er: 0.7500 0.7500 0.2500  4 Cd 3.48, 4 Ac 3.48
Cd: 0.0000 0.0000 0.5000  4 Er 3.48, 4 Pr 3.48
Cd: 0.0000 0.5000 0.0000  4 Er 3.48, 4 Pr 3.48
Cd: 0.5000 0.0000 0.0000  4 Er 3.48, 4 Pr 3.48
Cd: 0.5000 0.5000 0.5000  4 Er 3.48, 4 Pr 3.48



No. 7
VASP calculation (PBE) on AgPbCl2 after structural relaxation.

Output
The calculation puts the energy relative to the elements, uncorrected at -0.48 eV/atom.

Cell: 9.1430 3.5108 6.8067 Å, 90.00 106.34 90.00°
With the nearest neighbours (Å) after each atom.
Fractional coordinates of all 8 atoms:
Ag: 0.0000 0.0000 0.0000  4 Cl 2.69
Ag: 0.5000 0.5000 0.0000  4 Cl 2.69
Pb: 0.0000 0.5000 0.5000  2 Cl 2.94
Pb: 0.5000 0.0000 0.5000  2 Cl 2.94
Cl: 0.1994 0.5000 0.2276  2 Ag 2.69, 1 Pb 2.94
Cl: 0.3006 0.0000 0.7724  2 Ag 2.69, 1 Pb 2.94
Cl: 0.6994 0.0000 0.2276  2 Ag 2.69, 1 Pb 2.94
Cl: 0.8006 0.5000 0.7724  2 Ag 2.69, 1 Pb 2.94



No. 8
VASP calculation (PBE) on SrOsRu2 after structural relaxation.

Output
The energy relative to the elements comes out at 0.6069 eV per atom.

Cell: 2.7919 3.7569 7.1345 Å, 90.00 90.00 90.00°
With the nearest neighbours (Å) after each atom.
Fractional coordinates of all 4 atoms:
Sr: 0.0000 0.0000 0.0000  2 Sr 2.79
Os: 0.5000 0.5000 0.3260  5 Ru 2.55-2.63, 2 Os 2.79
Ru: 0.0000 0.0000 0.4942  4 Os 2.63, 6 Ru 2.70-2.79
Ru: 0.5000 0.5000 0.6829  1 Os 2.55, 6 Ru 2.70-2.79